AcNd2TmSb4 | Alexandria | PBE | relaxed; final energy = -5.453 eV per atom; SG = P2/m (10); E_form (uncorrected) = -1127.1 meV/atom
1.0
-4.4113 -0.2644 -1.1155
1.0168 -7.5005 -2.2432
-1.2683 -4.7651 6.1447
Ac Nd Tm Sb
1 2 1 4
direct
0.5000 0.5000 0.0000 Ac
0.0000 0.0000 0.0000 Nd
0.5000 0.0000 0.5000 Nd
0.0000 0.5000 0.5000 Tm
0.0000 0.7556 0.7359 Sb
0.0000 0.2444 0.2641 Sb
0.5000 0.7465 0.2630 Sb
0.5000 0.2535 0.7370 Sb